Entry from the Alexandria database: Ba2Tl2Hg after structural relaxation (PBE-GGA).

Structure (POSCAR):
```
Ba2Tl2Hg
1.0
9.4129 0.0000 0.0000
0.0000 9.4129 0.0000
0.0000 0.0000 4.4545
Tl Hg Ba
4 2 4
direct
0.3785 0.8785 0.0000
0.8785 0.6215 0.0000
0.6215 0.1215 0.0000
0.1215 0.3785 0.0000
0.0000 0.0000 0.0000
0.5000 0.5000 0.0000
0.1770 0.6770 0.5000
0.6770 0.8230 0.5000
0.8230 0.3230 0.5000
0.3230 0.1770 0.5000
```

## Properties
As for the polymorph energy (0 for the lowest one): 0.50 eV per formula unit. As for the formation energy: -0.297 eV/atom.



Entry from the Alexandria database: Ba3Tl3Hg8 after structural relaxation (PBE-GGA).

Structure (POSCAR):
```
Ba3Tl3Hg8
1.0
5.3888 0.0000 0.0000
2.6944 9.4056 0.7444
2.6944 3.2771 8.8477
Ba Tl Hg
3 3 8
direct
0.5000 0.5000 0.5000
0.7960 0.2040 0.2040
0.2040 0.7960 0.7960
0.5000 0.0000 0.0000
0.0000 0.8113 0.1887
0.0000 0.1887 0.8113
0.6452 0.0742 0.6355
0.3548 0.9258 0.3645
0.6452 0.6355 0.0742
0.3548 0.3645 0.9258
0.8365 0.8062 0.5207
0.1635 0.1938 0.4793
0.8365 0.5207 0.8062
0.1635 0.4793 0.1938
```

## Properties
As for the formation energy: -0.363 eV/atom.



Entry from the Alexandria database: BaTl2Hg6 after structural relaxation (PBE-GGA).

Structure (POSCAR):
```
BaTl2Hg6
1.0
4.0058 0.0000 0.0000
0.0000 9.2867 0.0000
-2.0029 -4.6434 7.4283
Ba Tl Hg
1 2 6
direct
0.0000 0.5000 0.0000
0.8670 0.8670 0.7340
0.1330 0.1330 0.2660
0.6829 0.8557 0.3657
0.3171 0.1443 0.6343
0.3171 0.4899 0.6343
0.5000 0.1788 0.0000
0.5000 0.8212 0.0000
0.6829 0.5101 0.3657
```

## Properties
As for the formation energy: -0.165 eV/atom.



Entry from the Alexandria database: Ba2TlHg2 after structural relaxation (PBE-GGA).

Structure (POSCAR):
```
Ba2TlHg2
1.0
-5.7784 -1.7072 2.7150
2.7747 0.1445 5.9963
-2.6356 3.7181 4.7719
Tl Hg Ba
1 2 2
direct
0.0000 0.0000 0.0000
0.3493 0.3493 0.3013
0.6507 0.6507 0.6987
0.7500 0.2500 0.5000
0.2500 0.7500 0.5000
```

## Properties
As for the polymorph energy (0 for the lowest one): 0.64 eV per formula unit. As for the formation energy: -0.310 eV/atom.



Entry from the Alexandria database: Ba2TlHg3 after structural relaxation (PBE-GGA).

Structure (POSCAR):
```
Ba2TlHg3
1.0
-1.3841 -2.7159 -3.7065
0.7451 -3.9501 2.6162
-8.5480 3.6835 3.5998
Ba Tl Hg
2 1 3
direct
0.1255 0.1255 0.2510
0.8708 0.3708 0.7416
0.4576 0.9576 0.9152
0.7057 0.7057 0.4114
0.5472 0.5472 0.0944
0.2932 0.7932 0.5864
```

## Properties
As for the polymorph energy (0 for the lowest one): 0.26 eV per formula unit. As for the formation energy: -0.415 eV/atom.



Entry from the Alexandria database: BaTl8Hg2 after structural relaxation (PBE-GGA).

Structure (POSCAR):
```
BaTl8Hg2
1.0
7.7156 0.0000 0.0000
0.0000 7.7156 0.0000
0.0000 0.0000 6.6576
Ba Tl Hg
1 8 2
direct
0.5000 0.5000 0.5000
0.7915 0.7915 0.2512
0.7915 0.2085 0.7488
0.7915 0.7915 0.7488
0.7915 0.2085 0.2512
0.2085 0.7915 0.2512
0.2085 0.7915 0.7488
0.2085 0.2085 0.2512
0.2085 0.2085 0.7488
0.5000 0.0000 0.0000
0.0000 0.5000 0.0000
```

## Properties
As for the formation energy: 0.050 eV/atom.



Entry from the Alexandria database: Ba2Tl2Hg3 after structural relaxation (PBE-GGA).

Structure (POSCAR):
```
Ba2Tl2Hg3
1.0
-8.1481 2.0470 2.1277
0.5380 -8.5164 -1.5134
5.3062 2.1168 6.5170
Ba Tl Hg
4 4 6
direct
0.0000 0.0000 0.5070
0.5000 0.5070 0.5000
0.4930 0.9930 0.9930
0.0070 0.5000 0.0000
0.0000 0.0000 0.9013
0.5000 0.9013 0.5000
0.0987 0.5987 0.5987
0.4013 0.5000 0.0000
0.7542 0.7500 0.0042
0.7458 0.2500 0.4958
0.9958 0.2458 0.2500
0.5042 0.2542 0.7500
0.2500 0.0042 0.2542
0.7500 0.4958 0.2458
```

## Properties
As for the polymorph energy (0 for the lowest one): 0.53 eV per formula unit. As for the formation energy: -0.292 eV/atom.



Entry from the Alexandria database: BaTl2Hg3 after structural relaxation (PBE-GGA).

Structure (POSCAR):
```
BaTl2Hg3
1.0
-4.8538 -4.2491 -2.4433
3.9507 -5.8622 2.3464
-3.9328 0.8915 6.2624
Ba Tl Hg
2 4 6
direct
0.2500 0.3328 0.3328
0.7500 0.6672 0.6672
0.5000 0.7656 0.2344
0.0000 0.7656 0.2344
0.0000 0.2344 0.7656
0.5000 0.2344 0.7656
0.7500 0.4177 0.1390
0.7500 0.1390 0.4177
0.2500 0.5823 0.8610
0.7500 0.0058 0.0058
0.2500 0.9942 0.9942
0.2500 0.8610 0.5823
```

## Properties
As for the polymorph energy (0 for the lowest one): 0.16 eV per formula unit. As for the formation energy: -0.225 eV/atom.



Entry from the Alexandria database: Ba3Tl5Hg6 after structural relaxation (PBE-GGA).

Structure (POSCAR):
```
Ba3Tl5Hg6
1.0
5.4104 0.0000 0.0000
0.0000 10.4480 0.0000
0.0000 0.0000 15.7542
Ba Tl Hg
6 10 12
direct
0.0000 0.2444 0.6982
0.5000 0.7556 0.1982
0.5000 0.7556 0.8018
0.0000 0.2487 0.0000
0.5000 0.7513 0.5000
0.0000 0.2444 0.3018
0.0000 0.5301 0.8504
0.0000 0.8886 0.6570
0.0000 0.7553 0.0000
0.5000 0.4699 0.6496
0.5000 0.2447 0.5000
0.0000 0.5301 0.1496
0.5000 0.4699 0.3504
0.0000 0.8886 0.3430
0.5000 0.1114 0.8430
0.5000 0.1114 0.1570
0.0000 0.9738 0.8530
0.5000 0.0262 0.6470
0.5000 0.3918 0.8466
0.5000 0.5709 0.0000
0.0000 0.4291 0.5000
0.0000 0.6082 0.6534
0.0000 0.6082 0.3466
0.5000 0.9325 0.0000
0.0000 0.9738 0.1470
0.5000 0.3918 0.1534
0.0000 0.0675 0.5000
0.5000 0.0262 0.3530
```

## Properties
As for the formation energy: -0.318 eV/atom.



Entry from the Alexandria database: BaTl6Hg6 after structural relaxation (PBE-GGA).

Structure (POSCAR):
```
BaTl6Hg6
1.0
-5.3303 1.7343 4.3256
-2.8409 -6.2113 4.7842
2.2856 2.3638 7.6634
Ba Tl Hg
1 6 6
direct
0.0000 0.0000 0.0000
0.0000 0.5000 0.0000
0.5000 0.5000 0.0000
0.0000 0.0000 0.5000
0.5000 0.0000 0.5000
0.5000 0.7941 0.2059
0.5000 0.2059 0.7941
0.3572 0.6428 0.6428
0.6428 0.3572 0.3572
0.0000 0.3503 0.6497
0.0000 0.6497 0.3503
0.2758 0.2242 0.2242
0.7242 0.7758 0.7758
```

## Properties
As for the formation energy: -0.077 eV/atom.



Entry from the Alexandria database: Ba3Tl2Hg9 after structural relaxation (PBE-GGA).

Structure (POSCAR):
```
Ba3Tl2Hg9
1.0
-4.0944 3.3657 -0.7492
-6.5503 -7.3243 2.8942
5.9296 4.3716 6.3558
Ba Tl Hg
3 2 9
direct
0.0000 0.0000 0.0000
0.2920 0.2920 0.5841
0.7080 0.7080 0.4159
0.5000 0.3203 0.0000
0.5000 0.6797 0.0000
0.0000 0.5000 0.0000
0.3379 0.9807 0.6759
0.6621 0.0193 0.3241
0.3379 0.6951 0.6759
0.6621 0.3049 0.3241
0.1424 0.8555 0.2847
0.8576 0.1445 0.7153
0.1424 0.4292 0.2847
0.8576 0.5708 0.7153
```

## Properties
As for the formation energy: -0.361 eV/atom.



Entry from the Alexandria database: BaTl6Hg8 after structural relaxation (PBE-GGA).

Structure (POSCAR):
```
BaTl6Hg8
1.0
7.7389 0.2616 2.0306
1.6309 7.5697 2.0306
0.3130 0.2616 7.9948
Ba Tl Hg
1 6 8
direct
0.0000 0.0000 0.0000
0.6003 0.3808 0.1793
0.1793 0.6003 0.3808
0.3808 0.1793 0.6003
0.3997 0.6192 0.8207
0.8207 0.3997 0.6192
0.6192 0.8207 0.3997
0.2185 0.2185 0.2185
0.7815 0.7815 0.7815
0.0945 0.4325 0.8324
0.8324 0.0945 0.4325
0.4325 0.8324 0.0945
0.9055 0.5675 0.1676
0.1676 0.9055 0.5675
0.5675 0.1676 0.9055
```

## Properties
As for the formation energy: -0.080 eV/atom.



Entry from the Alexandria database: BaTl3Hg3 after structural relaxation (PBE-GGA).

Structure (POSCAR):
```
BaTl3Hg3
1.0
8.5809 0.0000 0.0000
4.2905 7.4313 0.0000
4.2905 2.4771 6.9405
Ba Tl Hg
2 6 6
direct
0.3673 0.3673 0.8980
0.6327 0.6327 0.1020
0.6121 0.7286 0.5999
0.7286 0.0595 0.5999
0.0595 0.6121 0.5999
0.9405 0.3879 0.4001
0.2714 0.9405 0.4001
0.3879 0.2714 0.4001
0.1505 0.7009 0.1677
0.9810 0.1505 0.1677
0.7009 0.9810 0.1677
0.2991 0.0190 0.8323
0.0190 0.8495 0.8323
0.8495 0.2991 0.8323
```

## Properties
As for the polymorph energy (0 for the lowest one): 0.10 eV per formula unit. As for the formation energy: -0.188 eV/atom.



Entry from the Alexandria database: Ba6TlHg5 after structural relaxation (PBE-GGA).

Structure (POSCAR):
```
Ba6TlHg5
1.0
1.1973 -5.8169 0.3471
7.4719 1.7596 3.6725
-8.2118 1.7152 6.0293
Tl Ba Hg
1 6 5
direct
0.0000 0.0000 0.0000
0.8323 0.5808 0.6643
0.8320 0.0837 0.6642
0.5002 0.7466 0.0002
0.4998 0.2534 0.9998
0.1680 0.9163 0.3358
0.1677 0.4192 0.3357
0.6635 0.1637 0.3270
0.3344 0.3341 0.6682
0.0000 0.5000 0.0000
0.6656 0.6659 0.3318
0.3365 0.8363 0.6730
```

## Properties
As for the formation energy: -0.509 eV/atom.



Entry from the Alexandria database: BaTlHg11 after structural relaxation (PBE-GGA).

Structure (POSCAR):
```
BaTlHg11
1.0
-5.8650 -1.2330 2.9550
0.3223 0.2706 8.2863
-4.5327 6.5807 1.3047
Ba Tl Hg
1 1 11
direct
0.0000 0.0000 0.0000
0.5000 0.5000 0.0000
0.2807 0.2109 0.2163
0.7193 0.7891 0.7837
0.5030 0.7891 0.2163
0.4970 0.2109 0.7837
0.3474 0.6520 0.6444
0.6526 0.3480 0.3556
0.0081 0.3480 0.6444
0.9919 0.6520 0.3556
0.0000 0.5000 0.0000
0.5000 0.0000 0.5000
0.0000 0.0000 0.5000
```

## Properties
As for the formation energy: -0.116 eV/atom.



Entry from the Alexandria database: BaTl2Hg2 after structural relaxation (PBE-GGA).

Structure (POSCAR):
```
BaTl2Hg2
1.0
9.0937 0.0000 0.0000
0.0000 9.0937 0.0000
0.0000 0.0000 3.8689
Tl Hg Ba
4 4 2
direct
0.3732 0.8732 0.0000
0.8732 0.6268 0.0000
0.6268 0.1268 0.0000
0.1268 0.3732 0.0000
0.1684 0.6684 0.5000
0.6684 0.8316 0.5000
0.8316 0.3316 0.5000
0.3316 0.1684 0.5000
0.0000 0.0000 0.0000
0.5000 0.5000 0.0000
```

## Properties
As for the formation energy: -0.183 eV/atom.



Entry from the Alexandria database: Ba6Tl2Hg after structural relaxation (PBE-GGA).

Structure (POSCAR):
```
Ba6Tl2Hg
1.0
-2.1964 -5.2581 -5.7284
8.3055 1.3023 -4.3800
4.3817 -9.4808 5.4898
Ba Tl Hg
12 4 2
direct
0.8564 0.9575 0.2376
0.8334 0.6701 0.5624
0.8609 0.6784 0.9259
0.6391 0.1784 0.5741
0.6666 0.1701 0.9376
0.6436 0.4575 0.2624
0.1436 0.0425 0.7624
0.1666 0.3299 0.4376
0.1391 0.3216 0.0741
0.3609 0.8216 0.4259
0.3334 0.8299 0.0624
0.3564 0.5425 0.7376
0.9479 0.3797 0.7408
0.5521 0.8797 0.7592
0.4479 0.1203 0.2408
0.0521 0.6203 0.2592
0.5000 0.5000 0.0000
0.0000 0.0000 0.5000
```

## Properties
As for the polymorph energy (0 for the lowest one): 0.00 eV per formula unit. As for the formation energy: -0.256 eV/atom.



Entry from the Alexandria database: Ba2Tl3Hg after structural relaxation (PBE-GGA).

Structure (POSCAR):
```
Ba2Tl3Hg
1.0
4.9383 0.0000 2.0681
2.2515 6.2150 1.5536
0.0496 -0.2177 6.8113
Ba Tl Hg
2 3 1
direct
0.5387 0.2145 0.7081
0.4593 0.7879 0.2935
0.8401 0.6116 0.7082
0.8327 0.2306 0.1040
0.1606 0.7731 0.9058
0.1686 0.3824 0.2805
```

## Properties
As for the polymorph energy (0 for the lowest one): 0.00 eV per formula unit. As for the formation energy: -0.415 eV/atom.



Entry from the Alexandria database: Ba6Tl2Hg after structural relaxation (PBE-GGA).

Structure (POSCAR):
```
Ba6Tl2Hg
1.0
4.6149 0.0000 0.0000
-2.3075 7.5427 -0.8663
0.0000 -1.9072 13.4118
Ba Tl Hg
6 2 1
direct
0.6568 0.3136 0.0873
0.3432 0.6864 0.9127
0.9598 0.9195 0.2097
0.3208 0.6416 0.3970
0.0402 0.0805 0.7903
0.6792 0.3584 0.6030
0.3746 0.7492 0.6659
0.6254 0.2507 0.3341
0.0000 0.0000 0.5000
```

## Properties
As for the polymorph energy (0 for the lowest one): 0.64 eV per formula unit. As for the formation energy: -0.185 eV/atom.



Entry from the Alexandria database: Ba2TlHg2 after structural relaxation (PBE-GGA).

Structure (POSCAR):
```
Ba2TlHg2
1.0
9.0862 0.0000 0.0000
0.0000 9.0862 0.0000
0.0000 0.0000 4.4688
Tl Hg Ba
2 4 4
direct
0.0000 0.0000 0.0000
0.5000 0.5000 0.0000
0.3791 0.8791 0.0000
0.8791 0.6209 0.0000
0.6209 0.1209 0.0000
0.1209 0.3791 0.0000
0.1785 0.6785 0.5000
0.6785 0.8215 0.5000
0.8215 0.3215 0.5000
0.3215 0.1785 0.5000
```

## Properties
As for the polymorph energy (0 for the lowest one): 0.04 eV per formula unit. As for the formation energy: -0.430 eV/atom.